# 1
DFT (PBE) results for a geometry-optimized RbTmTe4 structure.

extended XYZ file:
```
12
Lattice="6.829 0.000 0.000 0.000 6.829 0.000 0.000 0.000 9.206" Properties=species:S:1:pos:R:3 pbc="T T T"
Rb 3.414 3.414 4.603
Rb 0.000 0.000 4.603
Tm 3.414 3.414 0.000
Tm 0.000 0.000 0.000
Te 4.420 5.823 1.813
Te 1.005 4.420 1.813
Te 5.823 2.409 1.813
Te 4.420 1.005 7.393
Te 2.409 5.823 7.393
Te 2.409 1.005 1.813
Te 5.823 4.420 7.393
Te 1.005 2.409 7.393
```

Calculated values
Energy (eV per cell): -46.823
DOS at the Fermi energy (states/eV per atom): 0.16
Total magnetization (μB per formula unit): 0.0
Symmetry: P4/nbm, No. 125
Formation energy from raw total energies (eV/atom): -0.901

---

# 2
DFT (PBE) results for a geometry-optimized Rb3TmU2Te6 structure.

extended XYZ file:
```
12
Lattice="7.834 -0.001 0.000 -3.916 6.785 0.000 -1.307 -2.262 8.593" Properties=species:S:1:pos:R:3 pbc="T T T"
Rb -2.594 4.513 4.296
Rb 5.205 0.009 4.296
Rb 1.306 2.261 4.296
Tm 0.000 0.000 0.000
U 0.002 4.522 0.000
U 3.916 2.262 0.000
Te 3.895 2.299 6.869
Te 2.635 4.562 1.727
Te -1.283 2.223 1.723
Te 0.045 4.522 6.869
Te -0.023 -0.040 6.865
Te 2.567 -0.001 1.723
```

Calculated values
Energy (eV per cell): -60.760
DOS at the Fermi energy (states/eV per atom): 1.16
Total magnetization (μB per formula unit): 6.0
Symmetry: C2/m, No. 12
Formation energy from raw total energies (eV/atom): -0.997

---

# 3
DFT (PBE) results for a geometry-optimized Rb4TmU3Te8 structure.

extended XYZ file:
```
16
Lattice="9.050 0.000 0.000 0.000 10.042 0.700 -4.525 -4.525 6.399" Properties=species:S:1:pos:R:3 pbc="T T T"
Rb 4.525 0.000 0.000
Rb 2.263 -2.263 3.200
Rb 0.000 0.000 0.000
Rb -2.263 -2.263 3.200
Tm 0.000 5.021 0.350
U 4.525 5.021 0.350
U 2.263 2.758 3.550
U -2.263 2.758 3.550
Te -2.303 2.646 6.698
Te 0.000 4.949 3.442
Te 0.000 0.577 3.607
Te 2.303 2.646 6.698
Te 2.222 2.871 0.401
Te 4.525 4.940 3.492
Te 4.525 0.568 3.657
Te 6.828 2.871 0.401
```

Calculated values
Energy (eV per cell): -82.614
DOS at the Fermi energy (states/eV per atom): 1.47
Total magnetization (μB per formula unit): 9.0
Symmetry: R-3m, No. 166
Formation energy from raw total energies (eV/atom): -0.955

---

# 4
DFT (PBE) results for a geometry-optimized Rb2TmU2Te6 structure.

extended XYZ file:
```
11
Lattice="7.676 -0.024 0.066 -3.815 6.661 0.066 -1.373 -2.360 8.760" Properties=species:S:1:pos:R:3 pbc="T T T"
Rb 5.758 1.092 0.066
Rb -1.897 5.545 0.066
Tm -0.687 -1.180 4.380
U -0.677 3.256 4.446
U 3.165 1.021 4.446
Te 1.879 3.230 6.201
Te -1.949 0.994 6.142
Te 0.609 1.047 2.691
Te 1.827 -1.203 6.142
Te 4.437 3.283 2.749
Te 0.661 5.480 2.749
```

Calculated values
Energy (eV per cell): -58.685
DOS at the Fermi energy (states/eV per atom): 1.40
Total magnetization (μB per formula unit): 5.0
Symmetry: C2/m, No. 12
Formation energy from raw total energies (eV/atom): -0.987

---

# 5
DFT (PBE) results for a geometry-optimized Rb3TmU3Te8 structure.

extended XYZ file:
```
15
Lattice="-7.290 3.089 4.296 -0.814 -4.017 -8.010 2.037 -6.090 7.872" Properties=species:S:1:pos:R:3 pbc="T T T"
Rb 0.000 0.000 0.000
Rb -0.407 -2.009 -4.005
Rb -4.052 -0.464 -1.857
Tm 1.018 -3.045 3.936
U -2.626 -1.500 6.084
U -3.034 -3.509 2.079
U 0.611 -5.054 -0.069
Te -1.761 -3.127 -0.776
Te -4.306 -3.891 4.935
Te -5.430 -1.629 1.372
Te -0.637 -5.389 2.786
Te -5.020 0.394 5.421
Te -1.047 -7.412 -1.263
Te -1.332 -1.157 3.247
Te -4.735 -5.861 0.911
```

Calculated values
Energy (eV per cell): -80.349
DOS at the Fermi energy (states/eV per atom): 1.25
Total magnetization (μB per formula unit): 2.7
Symmetry: P-1, No. 2
Formation energy from raw total energies (eV/atom): -0.932

---

# 6
DFT (PBE) results for a geometry-optimized Rb4Tm3UTe8 structure.

extended XYZ file:
```
16
Lattice="9.017 0.000 0.000 0.000 9.991 0.689 -4.508 -4.510 6.375" Properties=species:S:1:pos:R:3 pbc="T T T"
Rb 4.508 0.000 0.000
Rb 2.254 -2.255 3.188
Rb 0.000 0.000 0.000
Rb -2.254 -2.255 3.188
Tm 4.508 4.996 0.344
Tm 2.254 2.741 3.532
Tm -2.254 2.741 3.532
U 0.000 4.996 0.344
Te -2.211 2.640 6.619
Te 0.000 4.852 3.493
Te 0.000 0.619 3.625
Te 2.211 2.640 6.619
Te 2.298 2.841 0.445
Te 4.508 4.862 3.438
Te 4.508 0.630 3.571
Te 6.719 2.841 0.445
```

Calculated values
Energy (eV per cell): -73.121
DOS at the Fermi energy (states/eV per atom): 0.67
Total magnetization (μB per formula unit): 3.0
Symmetry: R-3m, No. 166
Formation energy from raw total energies (eV/atom): -1.213

---

# 7
DFT (PBE) results for a geometry-optimized Rb2TmUTe4 structure.

extended XYZ file:
```
8
Lattice="4.515 0.000 0.000 0.000 7.841 0.142 0.000 -2.762 8.526" Properties=species:S:1:pos:R:3 pbc="T T T"
Rb 2.258 -1.381 4.263
Rb 0.000 2.540 4.334
Tm 2.258 3.920 0.071
U 0.000 0.000 0.000
Te 2.258 1.324 1.748
Te 2.258 3.755 6.919
Te 0.000 -0.070 6.872
Te 0.000 5.149 1.795
```

Calculated values
Energy (eV per cell): -38.900
DOS at the Fermi energy (states/eV per atom): 1.13
Total magnetization (μB per formula unit): 3.0
Symmetry: P2/m, No. 10
Formation energy from raw total energies (eV/atom): -1.080

---

# 8
DFT (PBE) results for a geometry-optimized Rb2Tm2UTe6 structure.

extended XYZ file:
```
11
Lattice="-6.737 -2.682 2.409 6.258 -4.349 0.552 1.723 5.607 7.024" Properties=species:S:1:pos:R:3 pbc="T T T"
Rb -4.573 -2.959 2.100
Rb 4.094 -4.071 0.861
Tm 2.801 -0.991 4.681
Tm -1.557 -0.432 5.304
U 0.862 2.804 3.512
Te 0.848 -1.233 7.040
Te 3.248 1.985 5.273
Te 0.396 -0.190 2.944
Te -1.072 2.540 5.890
Te -2.003 -3.409 4.711
Te 2.316 -3.963 4.094
```

Calculated values
Energy (eV per cell): -53.784
DOS at the Fermi energy (states/eV per atom): 0.66
Total magnetization (μB per formula unit): 2.0
Symmetry: C2/m, No. 12
Formation energy from raw total energies (eV/atom): -1.161